The following is a GGA+U calculation of a relaxed CaFe4O2 crystal, from the Alexandria database.

Lattice parameters (Å, degrees): 4.7137 4.7137 7.2333 70.98 70.98 90.00
Closest atoms and distances in Å follow each position.
Atoms (fractional coordinates):
O: 0.5915 0.5915 0.8171  1 Fe 1.86
O: 0.4085 0.4085 0.1829  1 Fe 1.86
Fe: 0.5000 0.0000 0.0000  2 Ca 2.36, 4 O 2.63
Fe: 0.7363 0.7363 0.5274  1 O 1.86
Fe: 0.2637 0.2637 0.4726  1 O 1.86
Fe: 0.0000 0.5000 0.0000  2 Ca 2.36, 4 O 2.63
Ca: 0.0000 0.0000 0.0000  4 Fe 2.36

Values from the calculation:
Total moment   2.00 μB per atom
Final energy   -3.980 eV per atom
Symmetry   I4/mmm
Crystal system   tetragonal